VASP calculation (PBE) on an optimized crystal structure of Ni4W.

Computed properties:
As for the total magnetization: 0.1 Bohr magnetons per cell. The value obtained for the energy of formation is 65 meV/atom. Its volume is 59.5 Å³/f.u. The symmetry is No. 136.

The structure in CIF format:
```
data_Ni4W
_chemical_formula_sum 'Ni24 W6'
_symmetry_space_group_name_H-M 'P 1'
_symmetry_Int_Tables_number 1
_cell_length_a 8.804
_cell_length_b 8.804
_cell_length_c 4.608
_cell_angle_alpha 90.00
_cell_angle_beta 90.00
_cell_angle_gamma 90.00
loop_
_symmetry_equiv_pos_as_xyz
'x,y,z'
loop_
_atom_site_label
_atom_site_type_symbol
_atom_site_fract_x
_atom_site_fract_y
_atom_site_fract_z
_atom_site_occupancy
Ni1 Ni 0.230 0.431 0.500 1
Ni2 Ni 0.730 0.069 0.000 1
Ni3 Ni 0.318 0.682 0.247 1
Ni4 Ni 0.038 0.628 0.500 1
Ni5 Ni 0.682 0.318 0.247 1
Ni6 Ni 0.962 0.372 0.500 1
Ni7 Ni 0.931 0.270 0.000 1
Ni8 Ni 0.270 0.931 0.000 1
Ni9 Ni 0.128 0.462 0.000 1
Ni10 Ni 0.569 0.770 0.500 1
W1 W 0.613 0.613 0.000 1
W2 W 0.000 0.000 0.000 1
Ni11 Ni 0.431 0.230 0.500 1
Ni12 Ni 0.182 0.182 0.747 1
Ni13 Ni 0.818 0.818 0.253 1
Ni14 Ni 0.069 0.730 0.000 1
Ni15 Ni 0.372 0.962 0.500 1
Ni16 Ni 0.872 0.538 0.000 1
W3 W 0.387 0.387 0.000 1
Ni17 Ni 0.462 0.128 0.000 1
Ni18 Ni 0.182 0.182 0.253 1
W4 W 0.500 0.500 0.500 1
W5 W 0.113 0.887 0.500 1
Ni19 Ni 0.770 0.569 0.500 1
Ni20 Ni 0.538 0.872 0.000 1
W6 W 0.887 0.113 0.500 1
Ni21 Ni 0.682 0.318 0.753 1
Ni22 Ni 0.318 0.682 0.753 1
Ni23 Ni 0.818 0.818 0.747 1
Ni24 Ni 0.628 0.038 0.500 1
```